Arrangement i

# Dy8HgAu2

A relaxed Dy8HgAu2 crystal (GGA-PBE, Alexandria via LeMat-Bulk). Values from VASP.

Quantum ESPRESSO input file:
```
&SYSTEM
  ibrav = 0, nat = 11, ntyp = 3
/
ATOMIC_SPECIES
Dy 162.50 Dy.upf
Hg 200.59 Hg.upf
Au 196.97 Au.upf
CELL_PARAMETERS angstrom
-2.444 4.102 7.518
2.444 -4.102 7.518
2.444 4.102 -7.518
ATOMIC_POSITIONS angstrom
Dy 2.444 2.336 -2.493
Dy 0.000 0.000 2.021
Dy 0.000 2.577 0.000
Dy 2.444 2.336 2.493
Dy 0.000 1.766 5.025
Dy 0.000 5.626 0.000
Dy 0.000 0.000 13.014
Dy 0.000 1.766 10.011
Hg 2.444 0.000 0.000
Au 2.444 0.000 4.456
Au 0.000 4.102 3.062
```

Summary:
Total magnetic moment (μB per atom): 0.000
N(E_F) (states/eV per atom): 1.08
SG: Immm (71)

=====

Arrangement ii

# Dy8HgAu2

A relaxed Dy8HgAu2 crystal (GGA-PBE, Alexandria via LeMat-Bulk). Values from VASP.

Quantum ESPRESSO input file:
```
&SYSTEM
  ibrav = 0, nat = 11, ntyp = 3
/
ATOMIC_SPECIES
Dy 162.50 Dy.upf
Hg 200.59 Hg.upf
Au 196.97 Au.upf
CELL_PARAMETERS angstrom
8.977 -2.556 0.000
8.977 2.556 0.000
-1.976 0.000 6.721
ATOMIC_POSITIONS angstrom
Dy 0.018 0.000 1.804
Dy 1.954 0.000 5.547
Dy 4.878 0.000 3.532
Dy 7.248 0.000 0.246
Dy 8.729 0.000 6.475
Dy 11.100 0.000 3.188
Dy 14.023 0.000 1.174
Dy 15.960 0.000 4.916
Hg 7.989 0.000 3.360
Au 2.873 0.000 1.500
Au 13.104 0.000 5.221
```

Summary:
Total magnetic moment (μB per atom): 0.000
N(E_F) (states/eV per atom): 0.89
SG: C2/m (12)

=====

Energy ordering: arrangement ii at the bottom, the next structure 0.118 eV/atom above.

=====

Arrangement i

# Dy3Hg3Au2

A relaxed Dy3Hg3Au2 crystal (GGA-PBE, Alexandria via LeMat-Bulk). Values from VASP.

Quantum ESPRESSO input file:
```
&SYSTEM
  ibrav = 0, nat = 8, ntyp = 3
/
ATOMIC_SPECIES
Dy 162.50 Dy.upf
Hg 200.59 Hg.upf
Au 196.97 Au.upf
CELL_PARAMETERS angstrom
7.810 0.000 0.000
-3.905 6.763 0.000
0.000 0.000 3.656
ATOMIC_POSITIONS angstrom
Dy -2.315 4.010 0.000
Dy 1.589 2.753 0.000
Dy 4.631 0.000 0.000
Hg -0.905 1.567 1.828
Hg 1.810 0.000 1.828
Hg 3.000 5.196 1.828
Au 0.000 4.509 1.828
Au 3.905 2.254 1.828
```

Summary:
Total magnetic moment (μB per atom): 0.000
N(E_F) (states/eV per atom): 0.59
SG: P-62m (189)

=====

Arrangement ii

# Dy3Hg3Au2

A relaxed Dy3Hg3Au2 crystal (GGA-PBE, Alexandria via LeMat-Bulk). Values from VASP.

Quantum ESPRESSO input file:
```
&SYSTEM
  ibrav = 0, nat = 8, ntyp = 3
/
ATOMIC_SPECIES
Dy 162.50 Dy.upf
Hg 200.59 Hg.upf
Au 196.97 Au.upf
CELL_PARAMETERS angstrom
5.010 0.000 0.000
0.000 5.213 0.000
0.000 0.000 7.263
ATOMIC_POSITIONS angstrom
Dy 0.000 0.000 0.000
Dy 0.000 0.000 3.631
Dy 2.505 2.607 0.000
Hg 0.000 2.607 1.861
Hg 0.000 2.607 5.402
Hg 2.505 2.607 3.631
Au 2.505 0.000 1.681
Au 2.505 0.000 5.582
```

Summary:
Total magnetic moment (μB per atom): 0.000
N(E_F) (states/eV per atom): 0.64
SG: Pmmm (47)

=====

Energy ordering: arrangement i at the bottom, the next structure 0.080 eV/atom above.

=====

Arrangement i

# PmDyHgAu

A relaxed PmDyHgAu crystal (GGA-PBE, Alexandria via LeMat-Bulk). Values from VASP.

Quantum ESPRESSO input file:
```
&SYSTEM
  ibrav = 0, nat = 4, ntyp = 4
/
ATOMIC_SPECIES
Pm 145.00 Pm.upf
Dy 162.50 Dy.upf
Hg 200.59 Hg.upf
Au 196.97 Au.upf
CELL_PARAMETERS angstrom
3.698 0.000 0.000
0.000 3.698 0.000
0.000 0.000 7.443
ATOMIC_POSITIONS angstrom
Pm 0.000 0.000 0.000
Dy 0.000 0.000 3.557
Hg 1.849 1.849 5.431
Au 1.849 1.849 1.921
```

Summary:
Total magnetic moment (μB per atom): 0.001
N(E_F) (states/eV per atom): 0.88
SG: P4mm (99)

=====

Arrangement ii

# PmDyHgAu

A relaxed PmDyHgAu crystal (GGA-PBE, Alexandria via LeMat-Bulk). Values from VASP.

Quantum ESPRESSO input file:
```
&SYSTEM
  ibrav = 0, nat = 16, ntyp = 4
/
ATOMIC_SPECIES
Pm 145.00 Pm.upf
Dy 162.50 Dy.upf
Hg 200.59 Hg.upf
Au 196.97 Au.upf
CELL_PARAMETERS angstrom
7.413 0.000 0.000
0.000 7.413 0.000
0.000 0.000 7.413
ATOMIC_POSITIONS angstrom
Pm 0.000 0.000 0.000
Pm 0.000 3.706 3.706
Pm 3.706 0.000 3.706
Pm 3.706 3.706 0.000
Dy 0.000 0.000 3.706
Dy 0.000 3.706 0.000
Dy 3.706 0.000 0.000
Dy 3.706 3.706 3.706
Hg 1.853 1.853 5.559
Hg 1.853 5.559 1.853
Hg 5.559 1.853 1.853
Hg 5.559 5.559 5.559
Au 1.853 1.853 1.853
Au 1.853 5.559 5.559
Au 5.559 1.853 5.559
Au 5.559 5.559 1.853
```

Summary:
Total magnetic moment (μB per atom): 0.000
N(E_F) (states/eV per atom): 0.73
SG: F-43m (216)

=====

Energy ordering: arrangement i at the bottom, the next structure 0.017 eV/atom above.

=====

Arrangement i

# DyPuHgAu

A relaxed DyPuHgAu crystal (GGA-PBE, Alexandria via LeMat-Bulk). Values from VASP.

Quantum ESPRESSO input file:
```
&SYSTEM
  ibrav = 0, nat = 16, ntyp = 4
/
ATOMIC_SPECIES
Dy 162.50 Dy.upf
Pu 244.00 Pu.upf
Hg 200.59 Hg.upf
Au 196.97 Au.upf
CELL_PARAMETERS angstrom
7.372 0.000 0.000
0.000 7.372 0.000
0.000 0.000 7.372
ATOMIC_POSITIONS angstrom
Dy 0.000 0.000 0.000
Dy 0.000 3.686 3.686
Dy 3.686 0.000 3.686
Dy 3.686 3.686 0.000
Pu 0.000 0.000 3.686
Pu 0.000 3.686 0.000
Pu 3.686 0.000 0.000
Pu 3.686 3.686 3.686
Hg 1.843 1.843 1.843
Hg 1.843 5.529 5.529
Hg 5.529 1.843 5.529
Hg 5.529 5.529 1.843
Au 1.843 1.843 5.529
Au 1.843 5.529 1.843
Au 5.529 1.843 1.843
Au 5.529 5.529 5.529
```

Summary:
Total magnetic moment (μB per atom): 1.466
N(E_F) (states/eV per atom): 2.61
SG: F-43m (216)

=====

Arrangement ii

# DyPuHgAu

A relaxed DyPuHgAu crystal (GGA-PBE, Alexandria via LeMat-Bulk). Values from VASP.

Quantum ESPRESSO input file:
```
&SYSTEM
  ibrav = 0, nat = 4, ntyp = 4
/
ATOMIC_SPECIES
Dy 162.50 Dy.upf
Pu 244.00 Pu.upf
Hg 200.59 Hg.upf
Au 196.97 Au.upf
CELL_PARAMETERS angstrom
3.601 0.000 0.000
0.000 3.601 0.000
0.000 0.000 7.680
ATOMIC_POSITIONS angstrom
Dy 0.000 0.000 0.000
Pu 0.000 0.000 4.072
Hg 1.800 1.800 1.965
Au 1.800 1.800 6.049
```

Summary:
Total magnetic moment (μB per atom): 1.483
N(E_F) (states/eV per atom): 2.18
SG: P4mm (99)

=====

Energy ordering: arrangement ii at the bottom, the next structure 0.046 eV/atom above.

=====

Arrangement i

# DyScHgAu

A relaxed DyScHgAu crystal (GGA-PBE, Alexandria via LeMat-Bulk). Values from VASP.

Quantum ESPRESSO input file:
```
&SYSTEM
  ibrav = 0, nat = 4, ntyp = 4
/
ATOMIC_SPECIES
Dy 162.50 Dy.upf
Sc 44.96 Sc.upf
Hg 200.59 Hg.upf
Au 196.97 Au.upf
CELL_PARAMETERS angstrom
3.574 0.000 0.000
0.000 3.574 0.000
0.000 0.000 7.079
ATOMIC_POSITIONS angstrom
Dy 0.000 0.000 0.000
Sc 0.000 0.000 3.698
Hg 1.787 1.787 1.994
Au 1.787 1.787 5.238
```

Summary:
Total magnetic moment (μB per atom): 0.000
N(E_F) (states/eV per atom): 0.81
SG: P4mm (99)

=====

Arrangement ii

# DyScHgAu

A relaxed DyScHgAu crystal (GGA-PBE, Alexandria via LeMat-Bulk). Values from VASP.

Quantum ESPRESSO input file:
```
&SYSTEM
  ibrav = 0, nat = 16, ntyp = 4
/
ATOMIC_SPECIES
Dy 162.50 Dy.upf
Sc 44.96 Sc.upf
Hg 200.59 Hg.upf
Au 196.97 Au.upf
CELL_PARAMETERS angstrom
7.137 0.000 0.000
0.000 7.137 0.000
0.000 0.000 7.137
ATOMIC_POSITIONS angstrom
Dy 0.000 0.000 0.000
Dy 0.000 3.568 3.568
Dy 3.568 0.000 3.568
Dy 3.568 3.568 0.000
Sc 0.000 0.000 3.568
Sc 0.000 3.568 0.000
Sc 3.568 0.000 0.000
Sc 3.568 3.568 3.568
Hg 1.784 1.784 5.353
Hg 1.784 5.353 1.784
Hg 5.353 1.784 1.784
Hg 5.353 5.353 5.353
Au 1.784 1.784 1.784
Au 1.784 5.353 5.353
Au 5.353 1.784 5.353
Au 5.353 5.353 1.784
```

Summary:
Total magnetic moment (μB per atom): 0.000
N(E_F) (states/eV per atom): 0.94
SG: F-43m (216)

=====

Energy ordering: arrangement i at the bottom, the next structure 0.018 eV/atom above.

=====

Arrangement i

# SmDyHgAu

A relaxed SmDyHgAu crystal (GGA-PBE, Alexandria via LeMat-Bulk). Values from VASP.

Quantum ESPRESSO input file:
```
&SYSTEM
  ibrav = 0, nat = 16, ntyp = 4
/
ATOMIC_SPECIES
Sm 150.36 Sm.upf
Dy 162.50 Dy.upf
Hg 200.59 Hg.upf
Au 196.97 Au.upf
CELL_PARAMETERS angstrom
7.394 0.000 0.000
0.000 7.394 0.000
0.000 0.000 7.394
ATOMIC_POSITIONS angstrom
Sm 0.000 0.000 0.000
Sm 0.000 3.697 3.697
Sm 3.697 0.000 3.697
Sm 3.697 3.697 0.000
Dy 0.000 0.000 3.697
Dy 0.000 3.697 0.000
Dy 3.697 0.000 0.000
Dy 3.697 3.697 3.697
Hg 1.848 1.848 5.545
Hg 1.848 5.545 1.848
Hg 5.545 1.848 1.848
Hg 5.545 5.545 5.545
Au 1.848 1.848 1.848
Au 1.848 5.545 5.545
Au 5.545 1.848 5.545
Au 5.545 5.545 1.848
```

Summary:
Total magnetic moment (μB per atom): 0.000
N(E_F) (states/eV per atom): 0.76
SG: F-43m (216)

=====

Arrangement ii

# SmDyHgAu

A relaxed SmDyHgAu crystal (GGA-PBE, Alexandria via LeMat-Bulk). Values from VASP.

Quantum ESPRESSO input file:
```
&SYSTEM
  ibrav = 0, nat = 4, ntyp = 4
/
ATOMIC_SPECIES
Sm 150.36 Sm.upf
Dy 162.50 Dy.upf
Hg 200.59 Hg.upf
Au 196.97 Au.upf
CELL_PARAMETERS angstrom
3.694 0.000 0.000
0.000 3.694 0.000
0.000 0.000 7.405
ATOMIC_POSITIONS angstrom
Sm 0.000 0.000 0.000
Dy 0.000 0.000 3.539
Hg 1.847 1.847 5.417
Au 1.847 1.847 1.881
```

Summary:
Total magnetic moment (μB per atom): 0.000
N(E_F) (states/eV per atom): 0.82
SG: P4mm (99)

=====

Energy ordering: arrangement ii at the bottom, the next structure 0.015 eV/atom above.

=====

Arrangement i

# TbDyHgAu

A relaxed TbDyHgAu crystal (GGA-PBE, Alexandria via LeMat-Bulk). Values from VASP.

Quantum ESPRESSO input file:
```
&SYSTEM
  ibrav = 0, nat = 4, ntyp = 4
/
ATOMIC_SPECIES
Tb 158.93 Tb.upf
Dy 162.50 Dy.upf
Hg 200.59 Hg.upf
Au 196.97 Au.upf
CELL_PARAMETERS angstrom
3.675 0.000 0.000
0.000 3.675 0.000
0.000 0.000 7.306
ATOMIC_POSITIONS angstrom
Tb 0.000 0.000 0.000
Dy 0.000 0.000 3.813
Hg 1.838 1.838 1.919
Au 1.838 1.838 5.539
```

Summary:
Total magnetic moment (μB per atom): 0.000
N(E_F) (states/eV per atom): 0.72
SG: P4mm (99)

=====

Arrangement ii

# TbDyHgAu

A relaxed TbDyHgAu crystal (GGA-PBE, Alexandria via LeMat-Bulk). Values from VASP.

Quantum ESPRESSO input file:
```
&SYSTEM
  ibrav = 0, nat = 16, ntyp = 4
/
ATOMIC_SPECIES
Tb 158.93 Tb.upf
Dy 162.50 Dy.upf
Hg 200.59 Hg.upf
Au 196.97 Au.upf
CELL_PARAMETERS angstrom
7.335 0.000 0.000
0.000 7.335 0.000
0.000 0.000 7.335
ATOMIC_POSITIONS angstrom
Tb 0.000 0.000 0.000
Tb 0.000 3.667 3.667
Tb 3.667 0.000 3.667
Tb 3.667 3.667 0.000
Dy 0.000 0.000 3.667
Dy 0.000 3.667 0.000
Dy 3.667 0.000 0.000
Dy 3.667 3.667 3.667
Hg 1.834 1.834 5.501
Hg 1.834 5.501 1.834
Hg 5.501 1.834 1.834
Hg 5.501 5.501 5.501
Au 1.834 1.834 1.834
Au 1.834 5.501 5.501
Au 5.501 1.834 5.501
Au 5.501 5.501 1.834
```

Summary:
Total magnetic moment (μB per atom): 0.000
N(E_F) (states/eV per atom): 0.87
SG: F-43m (216)

=====

Energy ordering: arrangement i at the bottom, the next structure 0.013 eV/atom above.

=====

Arrangement i

# DyHoAu2

A relaxed DyHoAu2 crystal (GGA-PBE, Alexandria via LeMat-Bulk). Values from VASP.

Quantum ESPRESSO input file:
```
&SYSTEM
  ibrav = 0, nat = 4, ntyp = 3
/
ATOMIC_SPECIES
Dy 162.50 Dy.upf
Ho 164.93 Ho.upf
Au 196.97 Au.upf
CELL_PARAMETERS angstrom
5.097 0.000 0.000
0.000 5.097 0.000
0.000 0.000 3.566
ATOMIC_POSITIONS angstrom
Dy 0.000 0.000 0.000
Ho 2.549 2.549 0.000
Au 0.000 2.549 1.783
Au 2.549 0.000 1.783
```

Summary:
Total magnetic moment (μB per atom): 0.000
N(E_F) (states/eV per atom): 0.48
SG: P4/mmm (123)

=====

Arrangement ii

# DyHoAu2

A relaxed DyHoAu2 crystal (GGA-PBE, Alexandria via LeMat-Bulk). Values from VASP.

Quantum ESPRESSO input file:
```
&SYSTEM
  ibrav = 0, nat = 4, ntyp = 3
/
ATOMIC_SPECIES
Dy 162.50 Dy.upf
Ho 164.93 Ho.upf
Au 196.97 Au.upf
CELL_PARAMETERS angstrom
3.700 0.000 0.000
0.000 4.693 0.000
-1.841 0.000 5.495
ATOMIC_POSITIONS angstrom
Dy 0.000 0.000 0.000
Ho 1.858 2.347 2.442
Au 0.007 0.000 2.991
Au 0.011 2.347 4.942
```

Summary:
Total magnetic moment (μB per atom): 0.000
N(E_F) (states/eV per atom): 0.59
SG: Pm (6)

=====

Energy ordering: arrangement ii at the bottom, the next structure 0.022 eV/atom above.